(1)
This record from Alexandria via LeMat-Bulk describes a geometry-optimized KBaZnHg structure. The functional is PBE.

Values from the calculation:
raw total energy	-20.81	eV per cell
formation energy from the elements	-0.61	eV/f.u.
volume	35.3	Å³/atom

a = 8.263 Å, b = 8.263 Å, c = 8.263 Å
α = 90.00°, β = 90.00°, γ = 90.00°
Space group F-43m (No. 216)
One atom of each set of equivalent atoms:
K: 0.000 0.000 0.000 x4
Ba: 0.000 0.000 0.500 x4
Zn: 0.250 0.250 0.750 x4
Hg: 0.250 0.250 0.250 x4

=====

(2)
This record from Alexandria via LeMat-Bulk describes a geometry-optimized BaLa2Hg structure. The functional is PBE.

Values from the calculation:
raw total energy	-37.05	eV per cell
formation energy from the elements	-0.27	eV/f.u.
volume	39.7	Å³/atom

a = 3.9861 Å, b = 3.9861 Å, c = 34.6574 Å
α = 90.00°, β = 90.00°, γ = 120.00°
Space group R3m (No. 160, hexagonal axes)
One atom of each set of equivalent atoms:
Ba: 0.0000 0.0000 0.0000 x3
La: 0.0000 0.0000 0.2335 x3
La: 0.0000 0.0000 0.4317 x3
Hg: 0.0000 0.0000 0.8327 x3

=====

(3)
This record from Alexandria via LeMat-Bulk describes a geometry-optimized BaLa2Hg structure. The functional is PBE.

Values from the calculation:
raw total energy	-12.48	eV per cell
formation energy from the elements	-0.40	eV/f.u.
volume	36.3	Å³/atom

a = 3.974 Å, b = 5.742 Å, c = 6.485 Å
α = 90.00°, β = 101.22°, γ = 90.00°
Space group P2/m (No. 10)
One atom of each set of equivalent atoms:
Ba: 0.000 0.000 0.000 x1
La: 0.291 0.500 0.708 x2
Hg: 0.500 0.000 0.500 x1

=====

(4)
This record from Alexandria via LeMat-Bulk describes a geometry-optimized Ba2La2Hg structure. The functional is PBE.

Values from the calculation:
raw total energy	-27.71	eV per cell
formation energy from the elements	0.15	eV/f.u.
volume	42.6	Å³/atom

a = 8.210 Å, b = 8.210 Å, c = 6.325 Å
α = 90.00°, β = 90.00°, γ = 90.00°
Space group P4/mbm (No. 127)
One atom of each set of equivalent atoms:
Ba: 0.175 0.325 0.000 x4
La: 0.131 0.631 0.500 x4
Hg: 0.000 0.000 0.500 x2

=====

(5)
This record from Alexandria via LeMat-Bulk describes a geometry-optimized BaLa2Hg structure. The functional is PBE.

Values from the calculation:
raw total energy	-12.08	eV per cell
formation energy from the elements	0.00	eV/f.u.
volume	35.0	Å³/atom

a = 5.714 Å, b = 5.714 Å, c = 4.284 Å
α = 90.00°, β = 90.00°, γ = 90.00°
Space group P4/mmm (No. 123)
One atom of each set of equivalent atoms:
Ba: 0.000 0.000 0.000 x1
La: 0.000 0.500 0.500 x2
Hg: 0.500 0.500 0.000 x1

=====

(6)
This record from Alexandria via LeMat-Bulk describes a geometry-optimized BaLa2Hg2 structure. The functional is PBE.

Values from the calculation:
raw total energy	-26.45	eV per cell
formation energy from the elements	-0.84	eV/f.u.
volume	39.4	Å³/atom

a = 5.808 Å, b = 5.808 Å, c = 11.679 Å
α = 90.00°, β = 90.00°, γ = 90.00°
Space group I4/mmm (No. 139)
One atom of each set of equivalent atoms:
Ba: 0.000 0.000 0.000 x2
La: 0.000 0.000 0.350 x4
Hg: 0.000 0.500 0.250 x4

=====

(7)
This record from Alexandria via LeMat-Bulk describes a geometry-optimized BaLa2Hg6 structure. The functional is PBE.

Values from the calculation:
raw total energy	-35.57	eV per cell
formation energy from the elements	-4.19	eV/f.u.
volume	28.3	Å³/atom

a = 15.533 Å, b = 8.966 Å, c = 3.660 Å
α = 90.00°, β = 90.18°, γ = 90.00°
Space group C2/m (No. 12)
One atom of each set of equivalent atoms:
Ba: 0.000 0.000 0.000 x2
La: 0.167 0.500 0.000 x4
Hg: 0.000 0.337 0.500 x4
Hg: 0.169 0.169 0.502 x8

=====

(8)
This record from Alexandria via LeMat-Bulk describes a geometry-optimized BaLa4Hg5 structure. The functional is PBE.

Values from the calculation:
raw total energy	-28.16	eV per cell
formation energy from the elements	-5.02	eV/f.u.
volume	31.2	Å³/atom

a = 3.963 Å, b = 3.963 Å, c = 19.842 Å
α = 90.00°, β = 90.00°, γ = 90.00°
Space group P4/mmm (No. 123)
One atom of each set of equivalent atoms:
Ba: 0.000 0.000 0.000 x1
La: 0.000 0.000 0.209 x2
La: 0.000 0.000 0.404 x2
Hg: 0.500 0.500 0.117 x2
Hg: 0.500 0.500 0.306 x2
Hg: 0.500 0.500 0.500 x1

=====

Number 1: DOS(E_F) 3.16 states/eV/f.u.. Number 2: DOS(E_F) 5.74 states/eV/f.u.. Number 3: DOS(E_F) 4.43 states/eV/f.u.. Number 4: DOS(E_F) 9.23 states/eV/f.u.. Number 5: DOS(E_F) 6.13 states/eV/f.u.. Number 6: DOS(E_F) 4.36 states/eV/f.u.. Number 7: DOS(E_F) 6.36 states/eV/f.u.. Number 8: DOS(E_F) 10.30 states/eV/f.u..